Entry 1:
A relaxed structure of Ba3CoCl, computed with PBE.

a b c (Å): 5.8884 5.8884 5.8884
angles (deg): 90.00 90.00 90.00
With the nearest neighbours (Å) after each atom.
Space group Pm-3m (No. 221)
One atom of each set of equivalent atoms:
Ba 0.0000 0.0000 0.5000 [3 per cell]  2 Cl 2.94
Co 0.5000 0.5000 0.5000 [1 per cell]  12 Ba 4.16
Cl 0.0000 0.0000 0.0000 [1 per cell]  6 Ba 2.94

Calculated values
* theoretical density: 4.1 g cm⁻³
* total energy: -14.9 eV for the cell shown



Entry 2:
A relaxed structure of ReNi, computed with PBE.

a b c (Å): 4.6635 4.6635 8.0387
angles (deg): 90.00 90.00 120.00
With the nearest neighbours (Å) after each atom.
Space group P6_3/mmc (No. 194)
One atom of each set of equivalent atoms:
Re 0.0000 0.0000 0.0000 [2 per cell]  6 Ni 2.44
Re 0.3333 0.6667 0.0687 [4 per cell]  7 Re 2.75-2.91, 9 Ni 2.75-2.88
Ni 0.1703 0.3407 0.7500 [6 per cell]  4 Ni 2.28-2.38, 2 Re 2.44

Calculated values
* theoretical density: 16.1 g cm⁻³
* formation enthalpy at 0 K: 0.0474 eV per atom



Entry 3:
A relaxed structure of ScNiB, computed with PBE.

a b c (Å): 5.6881 5.6881 5.6881
angles (deg): 90.00 90.00 90.00
With the nearest neighbours (Å) after each atom.
Space group F-43m (No. 216)
One atom of each set of equivalent atoms:
Sc 0.0000 0.0000 0.0000 [4 per cell]  4 Ni 2.46, 4 B 2.46
Ni 0.2500 0.2500 0.2500 [4 per cell]  4 Sc 2.46
B 0.2500 0.2500 0.7500 [4 per cell]  4 Sc 2.46

Calculated values
* theoretical density: 4.1 g cm⁻³
* total energy: -66.0 eV for the cell shown



Entry 4:
A relaxed structure of AgPdSO, computed with PBE.

a b c (Å): 6.2746 6.5934 12.3412
angles (deg): 90.00 90.00 90.00
With the nearest neighbours (Å) after each atom.
Space group Pbca (No. 61)
One atom of each set of equivalent atoms:
Ag 0.0268 0.0998 0.2313 [8 per cell]  2 O 2.19-2.26
Pd 0.1760 0.1814 0.4601 [8 per cell]  1 O 2.05, 1 S 2.30
S 0.1874 0.5820 0.0817 [8 per cell]  3 Pd 2.30-2.43
O 0.1855 0.1438 0.8226 [8 per cell]  1 Pd 2.05, 2 Ag 2.19-2.26

Calculated values
* theoretical density: 6.8 g cm⁻³
* total energy: -138.6 eV for the cell shown



Entry 5:
A relaxed structure of ZnTc2Pd, computed with PBE.

a b c (Å): 6.1854 6.1854 6.1854
angles (deg): 90.00 90.00 90.00
With the nearest neighbours (Å) after each atom.
Space group F-43m (No. 216)
One atom of each set of equivalent atoms:
Zn 0.0000 0.0000 0.0000 [4 per cell]  4 Pd 2.68, 4 Tc 2.68
Tc 0.0000 0.0000 0.5000 [4 per cell]  4 Tc 2.68, 4 Pd 2.68
Tc 0.2500 0.2500 0.2500 [4 per cell]  4 Zn 2.68, 4 Tc 2.68
Pd 0.2500 0.2500 0.7500 [4 per cell]  4 Tc 2.68, 4 Zn 2.68

Calculated values
* theoretical density: 10.3 g cm⁻³
* formation enthalpy at 0 K: 0.1418 eV per atom



Entry 6:
A relaxed structure of Zr5NiSb9, computed with PBE.

a b c (Å): 8.8981 8.8981 8.8188
angles (deg): 90.00 90.00 90.00
With the nearest neighbours (Å) after each atom.
Space group P4/n (No. 85, origin choice 2)
One atom of each set of equivalent atoms:
Zr 0.0466 0.6466 0.2348 [8 per cell]  8 Sb 2.95-3.20, 1 Ni 3.10
Zr 0.2500 0.2500 0.2452 [2 per cell]  9 Sb 3.04-3.11
Ni 0.2500 0.7500 0.5000 [2 per cell]  4 Sb 2.55
Sb 0.0236 0.1654 0.4993 [8 per cell]  1 Ni 2.55
Sb 0.0518 0.6519 0.8836 [8 per cell]  5 Zr 2.99-3.10
Sb 0.2500 0.2500 0.8923 [2 per cell]  5 Zr 3.01-3.11

Calculated values
* theoretical density: 7.7 g cm⁻³
* total energy: -187.8 eV for the cell shown



Entry 7:
A relaxed structure of KCuIrSeS2, computed with PBE.

a b c (Å): 3.6889 14.5490 9.5877
angles (deg): 90.00 90.00 90.00
With the nearest neighbours (Å) after each atom.
Space group Cmcm (No. 63)
One atom of each set of equivalent atoms:
K 0.0000 0.2355 0.2500 [4 per cell]  6 S 3.32-3.62, 2 Se 3.35, 2 Cu 3.42, 2 K 3.69
Cu 0.0000 0.4623 0.7500 [4 per cell]  2 S 2.24, 2 Se 2.44
Ir 0.0000 0.0000 0.0000 [4 per cell]  4 S 2.43, 2 Se 2.62
Se 0.0000 0.0720 0.7500 [4 per cell]  2 Cu 2.44, 2 Ir 2.62
S 0.0000 0.3945 0.5397 [8 per cell]  1 Cu 2.24, 2 Ir 2.43

Calculated values
* theoretical density: 5.7 g cm⁻³
* total energy: -112.6 eV for the cell shown



Entry 8:
A relaxed structure of Dy4CI3Br2, computed with PBE.

a b c (Å): 18.5126 3.9097 8.4864
angles (deg): 90.00 101.63 90.00
With the nearest neighbours (Å) after each atom.
Space group C2/m (No. 12)
One atom of each set of equivalent atoms:
Dy 0.0013 0.0000 0.3094 [4 per cell]  2 C 2.54
Dy 0.1325 0.5000 0.5658 [4 per cell]  1 C 2.40
C 0.0000 0.5000 0.5000 [2 per cell]  6 Dy 2.40-2.54
I 0.0000 0.5000 0.0000 [2 per cell]  4 Dy 3.27
I 0.1721 0.0000 0.3156 [4 per cell]  3 Dy 3.08-3.15
Br 0.1561 0.0000 0.8191 [4 per cell]  3 Dy 2.87-2.90

Calculated values
* theoretical density: 6.6 g cm⁻³
* total energy: -95.9 eV for the cell shown



Entry 9:
A relaxed structure of RbTbHgO3, computed with PBE.

a b c (Å): 3.6049 14.1781 9.0369
angles (deg): 90.00 90.00 90.00
With the nearest neighbours (Å) after each atom.
Space group Cmcm (No. 63)
One atom of each set of equivalent atoms:
Rb 0.0000 0.1825 0.2500 [4 per cell]  4 O 2.71-2.84
Tb 0.0000 0.5000 0.0000 [4 per cell]  6 O 2.29-2.35
Hg 0.0000 0.1066 0.7500 [4 per cell]  2 O 2.04
O 0.0000 0.1051 0.5241 [8 per cell]  1 Hg 2.04
O 0.0000 0.4723 0.7500 [4 per cell]  2 Tb 2.29

Calculated values
* theoretical density: 7.1 g cm⁻³
* total energy: -127.7 eV for the cell shown



Entry 10:
A relaxed structure of BeCoSiPd, computed with PBE.

a b c (Å): 5.7069 5.7069 5.7069
angles (deg): 90.00 90.00 90.00
With the nearest neighbours (Å) after each atom.
Space group F-43m (No. 216)
One atom of each set of equivalent atoms:
Be 0.0000 0.0000 0.0000 [4 per cell]  4 Pd 2.47, 4 Si 2.47
Co 0.0000 0.0000 0.5000 [4 per cell]  4 Pd 2.47, 4 Si 2.47
Si 0.2500 0.2500 0.2500 [4 per cell]  4 Co 2.47, 4 Be 2.47
Pd 0.2500 0.2500 0.7500 [4 per cell]  4 Co 2.47, 4 Be 2.47

Calculated values
* theoretical density: 7.2 g cm⁻³
* total energy: -87.9 eV for the cell shown



Entry 11:
A relaxed structure of RbCuTeOsSe2, computed with PBE.

a b c (Å): 3.8712 16.1559 9.9670
angles (deg): 90.00 90.00 90.00
With the nearest neighbours (Å) after each atom.
Space group Cmcm (No. 63)
One atom of each set of equivalent atoms:
Rb 0.0000 0.2255 0.2500 [4 per cell]  4 Se 3.50, 2 Cu 3.67, 2 Te 3.75, 2 Rb 3.87
Cu 0.0000 0.4676 0.7500 [4 per cell]  2 Se 2.35, 2 Te 2.61
Te 0.0000 0.0759 0.7500 [4 per cell]  2 Cu 2.61, 2 Os 2.78
Os 0.0000 0.0000 0.0000 [4 per cell]  4 Se 2.55, 2 Te 2.78
Se 0.0000 0.4004 0.5411 [8 per cell]  1 Cu 2.35, 2 Os 2.55

Calculated values
* theoretical density: 6.7 g cm⁻³
* total energy: -109.8 eV for the cell shown



Entry 12:
A relaxed structure of Lu2MgTc, computed with PBE.

a b c (Å): 6.9259 6.9259 6.9259
angles (deg): 90.00 90.00 90.00
With the nearest neighbours (Å) after each atom.
Space group F-43m (No. 216)
One atom of each set of equivalent atoms:
Lu 0.0000 0.0000 0.0000 [4 per cell]  4 Lu 3.00, 4 Mg 3.00
Lu 0.2500 0.2500 0.2500 [4 per cell]  4 Tc 3.00, 4 Lu 3.00
Mg 0.2500 0.2500 0.7500 [4 per cell]  4 Tc 3.00, 4 Lu 3.00
Tc 0.0000 0.0000 0.5000 [4 per cell]  4 Mg 3.00, 4 Lu 3.00

Calculated values
* theoretical density: 9.4 g cm⁻³
* total energy: -80.8 eV for the cell shown



Entry 13:
A relaxed structure of HfCuSb, computed with PBE.

a b c (Å): 6.5406 6.5406 6.5406
angles (deg): 90.00 90.00 90.00
With the nearest neighbours (Å) after each atom.
Space group F-43m (No. 216)
One atom of each set of equivalent atoms:
Hf 0.0000 0.0000 0.0000 [4 per cell]  4 Sb 2.83, 4 Cu 2.83
Cu 0.2500 0.2500 0.7500 [4 per cell]  4 Hf 2.83
Sb 0.2500 0.2500 0.2500 [4 per cell]  4 Hf 2.83

Calculated values
* theoretical density: 8.6 g cm⁻³
* total energy: -70.2 eV for the cell shown



Entry 14:
A relaxed structure of NpPaB, computed with PBE.

a b c (Å): 5.9793 5.9793 5.9793
angles (deg): 90.00 90.00 90.00
With the nearest neighbours (Å) after each atom.
Space group F-43m (No. 216)
One atom of each set of equivalent atoms:
Np 0.0000 0.0000 0.0000 [4 per cell]  4 B 2.59
Pa 0.0000 0.0000 0.5000 [4 per cell]  4 B 2.59
B 0.2500 0.2500 0.2500 [4 per cell]  4 Pa 2.59, 4 Np 2.59

Calculated values
* theoretical density: 14.9 g cm⁻³
* total energy: -113.1 eV for the cell shown



Entry 15:
A relaxed structure of NaBSbIr, computed with PBE.

a b c (Å): 6.4203 6.4203 6.4203
angles (deg): 90.00 90.00 90.00
With the nearest neighbours (Å) after each atom.
Space group F-43m (No. 216)
One atom of each set of equivalent atoms:
Na 0.0000 0.0000 0.0000 [4 per cell]  4 B 2.78, 4 Ir 2.78
B 0.2500 0.2500 0.2500 [4 per cell]  4 Na 2.78, 4 Sb 2.78
Sb 0.0000 0.0000 0.5000 [4 per cell]  4 Ir 2.78, 4 B 2.78
Ir 0.2500 0.2500 0.7500 [4 per cell]  4 Na 2.78, 4 Sb 2.78

Calculated values
* theoretical density: 8.7 g cm⁻³
* total energy: -69.5 eV for the cell shown



Entry 16:
A relaxed structure of AcLuAs, computed with PBE.

a b c (Å): 7.5499 7.5499 7.5499
angles (deg): 90.00 90.00 90.00
With the nearest neighbours (Å) after each atom.
Space group F-43m (No. 216)
One atom of each set of equivalent atoms:
Ac 0.0000 0.0000 0.0000 [4 per cell]  4 Lu 3.27, 4 As 3.27
Lu 0.2500 0.2500 0.2500 [4 per cell]  4 Ac 3.27
As 0.2500 0.2500 0.7500 [4 per cell]  4 Ac 3.27

Calculated values
* theoretical density: 7.4 g cm⁻³
* total energy: -49.1 eV for the cell shown



Entry 17:
A relaxed structure of TbBeO3, computed with PBE.

a b c (Å): 5.0735 5.0735 11.9936
angles (deg): 90.00 90.00 120.00
With the nearest neighbours (Å) after each atom.
Space group R-3c (No. 167, hexagonal axes)
One atom of each set of equivalent atoms:
Tb 0.0000 0.0000 0.2500 [6 per cell]  9 O 2.35-2.48
Be 0.0000 0.0000 0.0000 [6 per cell]  6 O 1.78
O 0.0000 0.4641 0.2500 [18 per cell]  2 Be 1.78

Calculated values
* theoretical density: 8.0 g cm⁻³
* total energy: -214.0 eV for the cell shown



Entry 18:
A relaxed structure of Dy4Er3Te2Pd2, computed with PBE.

a b c (Å): 3.9319 15.7351 9.6172
angles (deg): 90.00 90.00 90.00
With the nearest neighbours (Å) after each atom.
Space group Imm2 (No. 44)
One atom of each set of equivalent atoms:
Dy 0.0000 0.1438 0.0000 [4 per cell]  2 Pd 2.93, 2 Te 3.16
Dy 0.0000 0.1818 0.6402 [4 per cell]  3 Pd 2.86-3.19, 1 Te 3.17
Er 0.0000 0.3708 0.8478 [4 per cell]  2 Pd 2.86, 3 Te 3.11-3.18
Er 0.0000 0.5000 0.2642 [2 per cell]  3 Te 3.23-3.25
Te 0.0000 0.0000 0.4982 [2 per cell]  2 Dy 3.17, 6 Er 3.18-3.23
Te 0.0000 0.5000 0.6026 [2 per cell]  3 Er 3.11-3.25, 4 Dy 3.16
Pd 0.0000 0.2611 0.3354 [4 per cell]  2 Er 2.86, 5 Dy 2.86-3.19

Calculated values
* theoretical density: 9.0 g cm⁻³
* total energy: -116.0 eV for the cell shown



Entry 19:
A relaxed structure of CsPaO3, computed with PBE.

a b c (Å): 6.1746 6.1746 19.7994
angles (deg): 90.00 90.00 120.00
With the nearest neighbours (Å) after each atom.
Space group R-3 (No. 148, hexagonal axes)
One atom of each set of equivalent atoms:
Cs 0.0000 0.0000 0.1339 [6 per cell]  3 O 2.90
Pa 0.0000 0.0000 0.3370 [6 per cell]  6 O 2.21-2.23
O 0.0077 0.5988 0.9403 [18 per cell]  2 Pa 2.21-2.23

Calculated values
* theoretical density: 6.3 g cm⁻³
* total energy: -229.5 eV for the cell shown



Entry 20:
A relaxed structure of TbYZn, computed with PBE.

a b c (Å): 7.0162 7.0162 7.0162
angles (deg): 90.00 90.00 90.00
With the nearest neighbours (Å) after each atom.
Space group F-43m (No. 216)
One atom of each set of equivalent atoms:
Tb 0.0000 0.0000 0.0000 [4 per cell]  4 Zn 3.04
Y 0.0000 0.0000 0.5000 [4 per cell]  4 Zn 3.04
Zn 0.2500 0.2500 0.7500 [4 per cell]  4 Tb 3.04, 4 Y 3.04

Calculated values
* theoretical density: 6.0 g cm⁻³
* formation enthalpy at 0 K: 0.0147 eV per atom



One value per record, in order, for volume: 40.83, 12.62, 15.34, 15.96, 14.79, 23.27, 21.44, 30.08, 19.25, 11.62, 25.97, 20.76, 23.32, 17.81, 16.54, 35.86, 8.91, 27.05, 21.79, 28.78 A^3/atom.